# 1
# SrPr2Sm3Se6 (PBE-GGA, optimized geometry)
# N(E_F): 10.5 states/eV/cell
# DFT total energy: -137.2 eV per cell
# raw formation energy: -1.86 eV per atom
data_SrPr2Sm3Se6
_space_group_name_H-M_alt 'C 1 2/m 1'
_space_group_IT_number 12
_space_group_name_Hall '-C 2y'
_cell_length_a 18.510
_cell_length_b 4.217
_cell_length_c 8.546
_cell_angle_alpha 90.00
_cell_angle_beta 103.57
_cell_angle_gamma 90.00
loop_
_atom_site_label
_atom_site_type_symbol
_atom_site_fract_x
_atom_site_fract_y
_atom_site_fract_z
_atom_site_occupancy
Sr1 Sr 0.000 0.000 0.000 1
Pr1 Pr 0.171 0.500 0.342 1
Sm1 Sm 0.000 0.000 0.500 1
Sm2 Sm 0.168 0.500 0.827 1
Se1 Se 0.000 0.500 0.257 1
Se2 Se 0.163 0.000 0.587 1
Se3 Se 0.169 0.000 0.078 1

# 2
# Ac3As5S12 (PBE-GGA, optimized geometry)
# DFT total energy: -808.9 eV per cell
# raw formation energy: -0.80 eV per atom
data_Ac3As5S12
_space_group_name_H-M_alt 'I a -3 d'
_space_group_IT_number 230
_space_group_name_Hall '-I 4bd 2c 3'
_cell_length_a 16.053
_cell_length_b 16.053
_cell_length_c 16.053
_cell_angle_alpha 90.00
_cell_angle_beta 90.00
_cell_angle_gamma 90.00
loop_
_atom_site_label
_atom_site_type_symbol
_atom_site_fract_x
_atom_site_fract_y
_atom_site_fract_z
_atom_site_occupancy
Ac1 Ac 0.000 0.250 0.125 1
As1 As 0.000 0.000 0.000 1
As2 As 0.000 0.250 0.375 1
S1 S 0.026 0.057 0.648 1

# 3
# TiIBrO2 (PBE-GGA, optimized geometry)
# N(E_F): 2.2 states/eV/cell
# DFT total energy: -26.5 eV per cell
# raw formation energy: -1.10 eV per atom
data_TiIBrO2
_space_group_name_H-M_alt 'P 4/m m m'
_space_group_IT_number 123
_space_group_name_Hall '-P 4 2'
_cell_length_a 3.962
_cell_length_b 3.962
_cell_length_c 6.103
_cell_angle_alpha 90.00
_cell_angle_beta 90.00
_cell_angle_gamma 90.00
loop_
_atom_site_label
_atom_site_type_symbol
_atom_site_fract_x
_atom_site_fract_y
_atom_site_fract_z
_atom_site_occupancy
Ti1 Ti 0.000 0.000 0.000 1
I1 I 0.000 0.000 0.500 1
Br1 Br 0.500 0.500 0.500 1
O1 O 0.000 0.500 0.000 1

# 4
# Tb12Ga6Sn (PBE-GGA, optimized geometry)
# ΔE_f: -0.4203 eV per atom
# N(E_F): 34.5 states/eV/cell
# DFT total energy: -171.4 eV per cell
data_Tb12Ga6Sn
_space_group_name_H-M_alt 'I m -3'
_space_group_IT_number 204
_space_group_name_Hall '-I 2 2 3'
_cell_length_a 10.112
_cell_length_b 10.112
_cell_length_c 10.112
_cell_angle_alpha 90.00
_cell_angle_beta 90.00
_cell_angle_gamma 90.00
loop_
_atom_site_label
_atom_site_type_symbol
_atom_site_fract_x
_atom_site_fract_y
_atom_site_fract_z
_atom_site_occupancy
Tb1 Tb 0.000 0.188 0.295 1
Ga1 Ga 0.000 0.378 0.500 1
Sn1 Sn 0.000 0.000 0.000 1

# 5
# Zr2TaAu (PBE-GGA, optimized geometry)
# ΔE_f: 0.0373 eV per atom
# N(E_F): 13.8 states/eV/cell
# DFT total energy: -96.2 eV per cell
data_Zr2TaAu
_space_group_name_H-M_alt 'R 3 m'
_space_group_IT_number 160
_space_group_name_Hall 'R 3 -2"'
_cell_length_a 3.1585
_cell_length_b 3.1585
_cell_length_c 28.8602
_cell_angle_alpha 90.00
_cell_angle_beta 90.00
_cell_angle_gamma 120.00
loop_
_atom_site_label
_atom_site_type_symbol
_atom_site_fract_x
_atom_site_fract_y
_atom_site_fract_z
_atom_site_occupancy
Zr1 Zr 0.0000 0.0000 0.0000 1
Zr2 Zr 0.0000 0.0000 0.2429 1
Ta1 Ta 0.0000 0.0000 0.7488 1
Au1 Au 0.0000 0.0000 0.4925 1

# 6
# ReNiRu2 (PBE-GGA, optimized geometry)
# ΔE_f: 0.1048 eV per atom
# N(E_F): 8.8 states/eV/cell
# DFT total energy: -72.7 eV per cell
data_ReNiRu2
_space_group_name_H-M_alt 'C 1 m 1'
_space_group_IT_number 8
_space_group_name_Hall 'C -2y'
_cell_length_a 8.894
_cell_length_b 2.695
_cell_length_c 4.605
_cell_angle_alpha 90.00
_cell_angle_beta 99.77
_cell_angle_gamma 90.00
loop_
_atom_site_label
_atom_site_type_symbol
_atom_site_fract_x
_atom_site_fract_y
_atom_site_fract_z
_atom_site_occupancy
Re1 Re 0.000 0.000 0.000 1
Ni1 Ni 0.249 0.500 0.243 1
Ru1 Ru 0.003 0.500 0.494 1
Ru2 Ru 0.249 0.000 0.744 1

# 7
# La2CdInRu (PBE-GGA, optimized geometry)
# ΔE_f: -0.3061 eV per atom
# N(E_F): 4.2 states/eV/cell
# DFT total energy: -24.3 eV per cell
data_La2CdInRu
_space_group_name_H-M_alt 'P 4/m m m'
_space_group_IT_number 123
_space_group_name_Hall '-P 4 2'
_cell_length_a 5.407
_cell_length_b 5.407
_cell_length_c 5.293
_cell_angle_alpha 90.00
_cell_angle_beta 90.00
_cell_angle_gamma 90.00
loop_
_atom_site_label
_atom_site_type_symbol
_atom_site_fract_x
_atom_site_fract_y
_atom_site_fract_z
_atom_site_occupancy
La1 La 0.000 0.500 0.000 1
Cd1 Cd 0.000 0.000 0.500 1
In1 In 0.500 0.500 0.500 1
Ru1 Ru 0.500 0.500 0.000 1

# 8
# In14GaHg (PBE-GGA, optimized geometry)
# ΔE_f: 0.0198 eV per atom
# N(E_F): 13.5 states/eV/cell
# DFT total energy: -82.7 eV per cell
data_In14GaHg
_space_group_name_H-M_alt 'A m m 2'
_space_group_IT_number 38
_space_group_name_Hall 'A 2 -2'
_cell_length_a 11.055
_cell_length_b 6.701
_cell_length_c 11.460
_cell_angle_alpha 90.00
_cell_angle_beta 90.00
_cell_angle_gamma 90.00
loop_
_atom_site_label
_atom_site_type_symbol
_atom_site_fract_x
_atom_site_fract_y
_atom_site_fract_z
_atom_site_occupancy
In1 In 0.000 0.000 0.000 1
In2 In 0.000 0.000 0.499 1
In3 In 0.000 0.248 0.251 1
In4 In 0.247 0.000 0.668 1
In5 In 0.254 0.000 0.169 1
In6 In 0.258 0.248 0.417 1
In7 In 0.500 0.247 0.595 1
Ga1 Ga 0.500 0.000 0.342 1
Hg1 Hg 0.500 0.000 0.843 1